# PBE TbErZnHg, relaxed
data_TbErZnHg
_symmetry_space_group_name_H-M 'P 4 m m'
_symmetry_Int_Tables_number 99
_symmetry_space_group_name_Hall 'P 4 -2'
_cell_length_a 3.599
_cell_length_b 3.599
_cell_length_c 7.412
_cell_angle_alpha 90.00
_cell_angle_beta 90.00
_cell_angle_gamma 90.00
loop_
_atom_site_label
_atom_site_type_symbol
_atom_site_fract_x
_atom_site_fract_y
_atom_site_fract_z
_atom_site_occupancy
Tb1 Tb 0.000 0.000 0.000 1
Er1 Er 0.000 0.000 0.533 1
Zn1 Zn 0.500 0.500 0.760 1
Hg1 Hg 0.500 0.500 0.274 1
# Magnetic moment (μB/cell): 0.00
# Calculated volume (Å³ per cell): 96
# Fermi-level density of states (states/eV per cell): 3.60
# Formation energy (meV per atom): -415
# Energy above the lowest structure with this stoichiometry (eV/f.u.): 0.00